(1)
The following is a GGA-PBEsol calculation of a relaxed BaY2Co crystal, from the Alexandria database.

a = 3.773 Å, b = 3.773 Å, c = 8.515 Å
α = 90.00°, β = 90.00°, γ = 90.00°
Space group P4mm (No. 99)
Unique sites:
1 Ba 0.000 0.000 0.000 [1 per cell]
2 Y 0.000 0.000 0.391 [1 per cell]
3 Y 0.500 0.500 0.644 [1 per cell]
4 Co 0.500 0.500 0.336 [1 per cell]

Computed properties:
- excess energy over the best structure of this formula in the dataset (eV/atom) = 0.175

---

(2)
The following is a GGA-PBEsol calculation of a relaxed BaYCo2 crystal, from the Alexandria database.

a = 6.782 Å, b = 6.782 Å, c = 6.782 Å
α = 90.00°, β = 90.00°, γ = 90.00°
Space group F-43m (No. 216)
Unique sites:
1 Ba 0.000 0.000 0.000 [4 per cell]
2 Y 0.250 0.250 0.750 [4 per cell]
3 Co 0.000 0.000 0.500 [4 per cell]
4 Co 0.250 0.250 0.250 [4 per cell]

Computed properties:
- excess energy over the best structure of this formula in the dataset (eV/atom) = 0.053

---

(3)
The following is a GGA-PBEsol calculation of a relaxed Ba2YCo crystal, from the Alexandria database.

a = 3.8868 Å, b = 3.8868 Å, c = 31.2879 Å
α = 90.00°, β = 90.00°, γ = 120.00°
Space group R-3m (No. 166, hexagonal axes)
Unique sites:
1 Ba 0.0000 0.0000 0.2275 [6 per cell]
2 Y 0.0000 0.0000 0.0000 [3 per cell]
3 Co 0.0000 0.0000 0.5000 [3 per cell]

Computed properties:
- excess energy over the best structure of this formula in the dataset (eV/atom) = 0.000

---

(4)
The following is a GGA-PBEsol calculation of a relaxed BaZnCo crystal, from the Alexandria database.

a = 7.166 Å, b = 7.166 Å, c = 7.166 Å
α = 90.00°, β = 90.00°, γ = 90.00°
Space group F-43m (No. 216)
Unique sites:
1 Ba 0.000 0.000 0.000 [4 per cell]
2 Zn 0.250 0.250 0.250 [4 per cell]
3 Co 0.250 0.250 0.750 [4 per cell]

Computed properties:
- raw total energy (eV per atom) = -2.651

---

(5)
The following is a GGA-PBEsol calculation of a relaxed BaZrCo2 crystal, from the Alexandria database.

a = 3.210 Å, b = 3.210 Å, c = 8.018 Å
α = 90.00°, β = 90.00°, γ = 90.00°
Space group P4mm (No. 99)
Unique sites:
1 Ba 0.000 0.000 0.000 [1 per cell]
2 Zr 0.500 0.500 0.595 [1 per cell]
3 Co 0.000 0.000 0.411 [1 per cell]
4 Co 0.500 0.500 0.299 [1 per cell]

Computed properties:
- raw total energy (eV per atom) = -6.286

---

(6)
The following is a GGA-PBEsol calculation of a relaxed BaCr2 crystal, from the Alexandria database.

a = 3.115 Å, b = 3.115 Å, c = 12.267 Å
α = 90.00°, β = 90.00°, γ = 90.00°
Space group I4/mmm (No. 139)
Unique sites:
1 Ba 0.000 0.000 0.000 [2 per cell]
2 Cr 0.000 0.000 0.277 [4 per cell]

Computed properties:
- excess energy over the best structure of this formula in the dataset (eV/atom) = 0.000

---

| no. | size of the total moment (μB per formula unit) |
| --- | --- |
| 1 | 0.00 |
| 2 | 2.14 |
| 3 | 1.05 |
| 4 | 1.26 |
| 5 | 2.73 |
| 6 | 0.00 |